[1]
## TlIr4 (PBE-GGA)

Data for crystalline TlIr4 at its relaxed geometry.

a = 4.879 Å, b = 4.879 Å, c = 4.879 Å
α = 90.00°, β = 90.00°, γ = 90.00°
Fractional positions:
Tl 0.000 0.000 0.000
Ir 0.000 0.000 0.500
Ir 0.000 0.500 0.000
Ir 0.500 0.000 0.000
Ir 0.500 0.500 0.500



[2]
## TlIr2 (PBE-GGA)

Data for crystalline TlIr2 at its relaxed geometry.

a = 6.351 Å, b = 6.351 Å, c = 6.351 Å
α = 153.31°, β = 153.31°, γ = 38.10°
Fractional positions:
Tl 0.000 0.000 0.000
Ir 0.322 0.322 0.000
Ir 0.678 0.678 0.000



The records above yield calculated volume values of 116.1 51.6 Å³/cell, respectively.
The records above yield D(E_F) values of 9.9 3.6 states/eV/cell, respectively.
The records above yield DFT formation energy values of 2943 537 meV/atom, respectively.